(1)
Compound: KPr3Nd2Te6
Source: Alexandria
Functional: PBE
Structure: relaxed

Output
Raw formation energy: -1411.6 meV/atom
E: -0.3722 Ry per atom
Density: 6.2 g cm⁻³
Calculated volume: 405 Å³ per cell
D(E_F): 4.99 states/eV/f.u.

Cell and atoms, written as extended XYZ:
```
12
Lattice="4.5295 0.0000 0.0000 0.0000 9.2280 0.3251 -2.2647 -2.6632 9.6013" Properties=species:S:1:pos:R:3 pbc="T T T"
Te 2.2647 4.1843 9.7697
Pr 2.2647 4.6140 0.1625
Nd 2.2647 4.3000 6.5689
Te 0.0000 2.3806 0.1567
Te 2.2647 -0.1172 3.3326
K 2.2647 0.0000 0.0000
Pr 0.0000 6.7261 3.3759
Pr 2.2647 -0.1613 6.5505
Nd 0.0000 2.2649 3.3575
Te 0.0000 2.0768 6.5491
Te 2.2647 4.4880 3.3773
Te 0.0000 6.6820 6.5938
```


(2)
Compound: Tm3SbTe2
Source: Alexandria
Functional: PBE
Structure: relaxed

Output
Raw formation energy: -1177.0 meV/atom
E: -0.3783 Ry per atom
Density: 8.6 g cm⁻³
Calculated volume: 170 Å³ per cell
D(E_F): 2.64 states/eV/f.u.

Cell and atoms, written as extended XYZ:
```
6
Lattice="4.3075 0.0000 0.0000 0.0000 6.0864 0.0000 -2.1538 -3.0432 6.5011" Properties=species:S:1:pos:R:3 pbc="T T T"
Tm 3.2307 1.5216 1.1758
Te 3.2307 4.5648 1.0523
Tm -1.0769 1.5216 5.3253
Tm 1.0769 -1.5216 3.2505
Te -1.0769 -1.5216 5.4488
Sb 1.0769 1.5216 3.2505
```


(3)
Compound: BaYNi2Ir
Source: Alexandria
Functional: PBE
Structure: relaxed

Output
Energy of formation from the pure elements: 1508 meV per atom
E: -0.3126 Ry per atom
Density: 6.7 g cm⁻³
Calculated volume: 133 Å³ per cell
D(E_F): 3.77 states/eV/f.u.

Cell and atoms, written as extended XYZ:
```
5
Lattice="4.6559 0.0000 0.0000 0.0000 6.1190 0.0000 0.0000 0.0000 4.6559" Properties=species:S:1:pos:R:3 pbc="T T T"
Ir 2.3280 3.0595 2.3280
Ba 0.0000 3.0595 0.0000
Ni 0.0000 0.0000 2.3280
Ni 2.3280 0.0000 0.0000
Y 0.0000 0.0000 0.0000
```


(4)
Compound: Be2TcRh
Source: Alexandria
Functional: PBE
Structure: relaxed

Output
Energy of formation from the pure elements: -193 meV per atom
E: -0.4767 Ry per atom
Density: 8.1 g cm⁻³
Calculated volume: 45 Å³ per cell
D(E_F): 3.26 states/eV/f.u.

Cell and atoms, written as extended XYZ:
```
4
Lattice="-0.4579 1.8026 4.3952 2.9709 -1.4099 3.4587 -0.3558 1.9875 -4.3244" Properties=species:S:1:pos:R:3 pbc="T T T"
Be 0.2523 1.9981 2.0955
Rh 1.2858 0.2010 4.0186
Be 2.4677 0.3857 7.7122
Tc 1.9209 0.3847 1.4841
```


(5)
Compound: Mn5Co24
Source: Alexandria
Functional: PBE
Structure: relaxed

Output
Energy of formation from the pure elements: 9 meV per atom
E: -0.5477 Ry per atom
Density: 8.4 g cm⁻³
Calculated volume: 332 Å³ per cell
D(E_F): 26.52 states/eV/f.u.

Cell and atoms, written as extended XYZ:
```
29
Lattice="-7.3899 -1.5299 0.3963 3.8559 -5.1584 3.9536 1.3081 6.8675 2.8696" Properties=species:S:1:pos:R:3 pbc="T T T"
Co -0.6545 -0.8762 5.2767
Mn 0.8261 4.3370 1.8122
Mn 0.0000 0.0000 0.0000
Co -1.1427 1.4281 5.0690
Mn -0.8202 0.0660 2.6602
Co -0.2951 -4.1051 2.8404
Co 1.0243 0.5998 4.2465
Co -2.0248 4.0594 2.1044
Co -0.9267 2.2756 1.1493
Co -0.1991 2.7646 3.4492
Co -3.6276 -0.5455 2.4743
Co 3.1335 -0.7951 3.8153
Co 1.6929 -0.6136 2.0287
Co 2.4080 2.6291 3.5066
Co 0.0263 -2.2226 1.5548
Co -2.6182 -4.1539 4.0400
Co 1.2281 1.5803 1.8309
Co -2.8093 -0.1809 4.5951
Co -4.5015 1.6684 1.4002
Co -1.7685 -2.0965 3.4524
Co 2.8264 1.1025 5.5881
Co -2.0253 -1.5606 0.9058
Mn 2.4351 -3.2576 2.4968
Co -2.5866 1.7649 3.1043
Co 0.8052 -1.9758 3.8765
Mn -4.6669 -0.9662 0.2503
Co -3.4972 -3.0720 1.8275
Co -2.5135 0.7437 0.6981
Co -4.2130 3.3738 3.3614
```


(6)
Compound: RuWSe2N
Source: Alexandria
Functional: PBE
Structure: relaxed

Output
Raw formation energy: 796.6 meV/atom
E: -0.4930 Ry per atom
Density: 7.9 g cm⁻³
Calculated volume: 96 Å³ per cell
D(E_F): 7.67 states/eV/f.u.

Cell and atoms, written as extended XYZ:
```
5
Lattice="5.0476 0.0000 0.0000 0.0000 5.0476 0.0000 0.0000 0.0000 3.7736" Properties=species:S:1:pos:R:3 pbc="T T T"
Se 0.0000 2.5238 0.0000
Se 2.5238 0.0000 0.0000
N 0.0000 0.0000 1.8868
Ru 2.5238 2.5238 1.8868
W 0.0000 0.0000 0.0000
```